Tb12DySc5 | PBE | relaxed

Raw total energy (hartree per atom): -0.1862
DFT formation energy (eV per atom): 0.04
Spin magnetization (μB per atom): 0.000
V (Å³/f.u.): 535
SG: C2/m, No. 12

Unit cell a=6.0548 b=6.0560 c=16.9522 alpha=93.40 beta=96.81 gamma=60.01
Fractional positions:
Tb  0.4466  0.6669  0.3391
Sc  0.1667  0.6667  0.5000
Tb  0.1135  0.3332  0.3391
Sc  0.3334  0.3333  0.0000
Tb  0.9442  0.3357  0.8347
Dy  0.0000  0.0000  0.0000
Tb  0.7201  0.3357  0.1653
Tb  0.0558  0.6643  0.1653
Tb  0.6085  0.0000  0.8347
Tb  0.3915  0.0000  0.1653
Sc  0.8333  0.3334  0.5000
Tb  0.8865  0.6669  0.6609
Tb  0.5534  0.3332  0.6609
Tb  0.7802  0.0000  0.3391
Sc  0.5000  0.0000  0.5000
Tb  0.2198  0.0000  0.6609
Sc  0.6667  0.6667  0.0000
Tb  0.2799  0.6643  0.8347

Tb2Dy4Sc5 | PBE | relaxed

Raw total energy (hartree per atom): -0.1929
Polymorph energy (0 for the lowest one) (kJ/mol of formula units): 15
DFT formation energy (eV per atom): 0.14
Spin magnetization (μB per atom): 0.000
V (Å³/f.u.): 320
SG: C2/m, No. 12

Unit cell a=3.3602 b=8.3978 c=13.8486 alpha=124.24 beta=96.97 gamma=90.00
Fractional positions:
Tb  0.5877  0.4790  0.1754
Dy  0.0459  0.7554  0.0919
Sc  0.1290  0.2231  0.2579
Sc  0.5000  0.0000  0.0000
Sc  0.8118  0.1021  0.6235
Sc  0.8710  0.7769  0.7421
Dy  0.2717  0.3661  0.5434
Dy  0.9541  0.2446  0.9081
Tb  0.4123  0.5210  0.8246
Dy  0.7283  0.6339  0.4566
Sc  0.1882  0.8979  0.3765

Tb12DySc7 | PBE | relaxed

Raw total energy (hartree per atom): -0.1858
Polymorph energy (0 for the lowest one) (kJ/mol of formula units): 0
DFT formation energy (eV per atom): 0.17
Spin magnetization (μB per atom): 0.194
V (Å³/f.u.): 595
SG: R-3, No. 148

Unit cell a=9.0519 b=9.0519 c=9.0519 alpha=108.28 beta=108.28 gamma=108.28
Fractional positions:
Tb  0.9360  0.7024  0.5927
Sc  0.0027  0.1035  0.6848
Tb  0.6748  0.3791  0.2013
Sc  0.5000  0.5000  0.5000
Tb  0.3791  0.2013  0.6748
Sc  0.3152  0.9973  0.8965
Tb  0.3252  0.6209  0.7987
Sc  0.6848  0.0027  0.1035
Tb  0.4073  0.0640  0.2976
Tb  0.2013  0.6748  0.3791
Dy  0.0000  0.0000  0.0000
Sc  0.9973  0.8965  0.3152
Tb  0.5927  0.9360  0.7024
Tb  0.0640  0.2976  0.4073
Tb  0.7987  0.3252  0.6209
Tb  0.2976  0.4073  0.0640
Sc  0.1035  0.6848  0.0027
Sc  0.8965  0.3152  0.9973
Tb  0.7024  0.5927  0.9360
Tb  0.6209  0.7987  0.3252

Tb8DySc5 | PBE | relaxed

Raw total energy (hartree per atom): -0.1846
DFT formation energy (eV per atom): 0.21
Spin magnetization (μB per atom): 0.000
V (Å³/f.u.): 418
SG: C2, No. 5

Unit cell a=8.1602 b=8.3943 c=8.1600 alpha=115.86 beta=94.44 gamma=117.43
Fractional positions:
Tb  0.5112  0.5703  0.2861
Tb  0.6320  0.1970  0.2889
Tb  0.0919  0.8030  0.4350
Tb  0.7159  0.4297  0.9409
Tb  0.2323  0.6954  0.0641
Dy  0.0866  0.5000  0.5865
Sc  0.8224  0.6939  0.6947
Sc  0.9003  0.9579  0.2140
Tb  0.3687  0.3046  0.5369
Tb  0.5644  0.8481  0.8588
Sc  0.5568  0.0000  0.5569
Sc  0.2561  0.0421  0.9424
Sc  0.0008  0.3061  0.1285
Tb  0.0107  0.1519  0.7163

Tb2DySc7 | PBE | relaxed

Raw total energy (hartree per atom): -0.2082
Polymorph energy (0 for the lowest one) (kJ/mol of formula units): 0
DFT formation energy (eV per atom): 0.15
Spin magnetization (μB per atom): 0.002
V (Å³/f.u.): 273
SG: Cmmm, No. 65

Unit cell a=3.3222 b=13.9062 c=13.9062 alpha=154.90 beta=90.00 gamma=90.00
Fractional positions:
Sc  0.5000  0.5000  0.5000
Tb  0.5000  0.7105  0.2895
Dy  0.0000  0.0000  0.0000
Sc  0.5000  0.8516  0.6547
Sc  0.0000  0.1818  0.8182
Sc  0.0000  0.8182  0.1818
Sc  0.5000  0.6547  0.8516
Sc  0.5000  0.1484  0.3453
Sc  0.5000  0.3453  0.1484
Tb  0.5000  0.2895  0.7105

Tb5Dy2Sc | PBE | relaxed

Raw total energy (hartree per atom): -0.1770
Polymorph energy (0 for the lowest one) (kJ/mol of formula units): 0
DFT formation energy (eV per atom): 0.02
Spin magnetization (μB per atom): 0.000
V (Å³/f.u.): 250
SG: Fmm2, No. 42

Unit cell a=7.1786 b=7.1789 c=6.6582 alpha=105.63 beta=105.63 gamma=120.02
Fractional positions:
Dy  0.7397  0.3255  0.5096
Dy  0.2301  0.8159  0.4904
Tb  0.3218  0.7398  0.0000
Sc  0.8199  0.7359  0.0000
Tb  0.2371  0.3184  0.4997
Tb  0.3213  0.2349  0.0000
Tb  0.8157  0.2338  0.0000
Tb  0.7374  0.8188  0.5003

Tb15DySc4 | PBE | relaxed

Raw total energy (hartree per atom): -0.1814
DFT formation energy (eV per atom): 0.03
Spin magnetization (μB per atom): 0.000
V (Å³/f.u.): 606
SG: P4/mmm, No. 123

Unit cell a=4.9539 b=4.9539 c=24.6734 alpha=90.00 beta=90.00 gamma=90.00
Fractional positions:
Tb  0.0000  0.5000  0.6985
Tb  0.0000  0.5000  0.5000
Sc  0.0000  0.0000  0.4007
Tb  0.5000  0.0000  0.5000
Tb  0.5000  0.0000  0.8969
Tb  0.5000  0.5000  0.0000
Tb  0.0000  0.5000  0.1031
Sc  0.0000  0.0000  0.2022
Tb  0.5000  0.5000  0.4008
Tb  0.5000  0.0000  0.1031
Tb  0.0000  0.5000  0.3015
Sc  0.0000  0.0000  0.5993
Tb  0.5000  0.0000  0.6985
Tb  0.0000  0.5000  0.8969
Dy  0.0000  0.0000  0.0000
Tb  0.5000  0.5000  0.7974
Tb  0.5000  0.0000  0.3015
Sc  0.0000  0.0000  0.7978
Tb  0.5000  0.5000  0.5992
Tb  0.5000  0.5000  0.2026

Tb4Dy5Sc3 | PBE | relaxed

Raw total energy (hartree per atom): -0.1775
DFT formation energy (eV per atom): 0.21
Spin magnetization (μB per atom): 0.049
V (Å³/f.u.): 367
SG: C2/m, No. 12

Unit cell a=5.7058 b=8.4541 c=9.3586 alpha=106.11 beta=72.25 gamma=70.28
Fractional positions:
Tb  0.1403  0.7773  0.9421
Dy  0.5000  0.5000  0.5000
Sc  0.4805  0.3052  0.7338
Tb  0.1631  0.0532  0.6205
Dy  0.2051  0.4687  0.1210
Sc  0.0000  0.5000  0.5000
Tb  0.8597  0.2227  0.0579
Dy  0.3620  0.0642  0.2119
Tb  0.8369  0.9468  0.3795
Dy  0.7949  0.5313  0.8790
Sc  0.5195  0.6948  0.2662
Dy  0.6380  0.9358  0.7881

Tb3Dy7Sc | PBE | relaxed

Raw total energy (hartree per atom): -0.1682
Polymorph energy (0 for the lowest one) (kJ/mol of formula units): 40
DFT formation energy (eV per atom): 0.19
Spin magnetization (μB per atom): 0.000
V (Å³/f.u.): 360
SG: P3m1, No. 156

Unit cell a=8.5246 b=6.9842 c=6.9842 alpha=120.00 beta=90.00 gamma=90.00
Fractional positions:
Dy  0.1201  0.6667  0.3333
Dy  0.4490  0.8322  0.6643
Sc  0.4452  0.3333  0.6667
Dy  0.1202  0.1684  0.3367
Tb  0.7807  0.0017  0.5009
Dy  0.4490  0.3357  0.1678
Dy  0.1202  0.1684  0.8316
Dy  0.1202  0.6633  0.8316
Dy  0.4490  0.8322  0.1678
Tb  0.7807  0.4991  0.9983
Tb  0.7807  0.4991  0.5009

TbDy4Sc3 | PBE | relaxed

Raw total energy (hartree per atom): -0.1920
Polymorph energy (0 for the lowest one) (kJ/mol of formula units): 0
DFT formation energy (eV per atom): 0.03
Spin magnetization (μB per atom): 0.000
V (Å³/f.u.): 233
SG: Pmn2_1, No. 31

Unit cell a=6.0646 b=7.0306 c=10.9104 alpha=90.00 beta=90.00 gamma=90.00
Fractional positions:
Sc  0.9796  0.6191  0.2509
Dy  0.4841  0.8685  0.2457
Dy  0.4841  0.8685  0.7543
Dy  0.9841  0.1315  0.7457
Dy  0.9841  0.1315  0.2543
Sc  0.1510  0.3804  0.5000
Tb  0.6512  0.6182  0.5000
Dy  0.1388  0.8686  0.0000
Dy  0.6468  0.1314  0.0000
Sc  0.4796  0.3809  0.7509
Sc  0.4796  0.3809  0.2491
Sc  0.9796  0.6191  0.7491
Tb  0.1512  0.3818  0.0000
Sc  0.6510  0.6196  0.0000
Dy  0.6388  0.1314  0.5000
Dy  0.1468  0.8686  0.5000

Tb12DySc2 | PBE | relaxed

Raw total energy (hartree per atom): -0.1753
DFT formation energy (eV per atom): 0.09
Spin magnetization (μB per atom): 0.000
V (Å³/f.u.): 470
SG: C2/m, No. 12

Unit cell a=6.3756 b=6.3756 c=26.2653 alpha=83.53 beta=83.54 gamma=115.74
Fractional positions:
Tb  0.9398  0.9471  0.0712
Tb  0.8788  0.7172  0.5531
Tb  0.0529  0.0602  0.9288
Tb  0.1128  0.6128  0.8662
Tb  0.3872  0.8872  0.1338
Tb  0.6022  0.5753  0.2026
Tb  0.9628  0.4628  0.4430
Tb  0.8978  0.9247  0.7974
Tb  0.8090  0.3090  0.6538
Sc  0.4374  0.9374  0.7529
Sc  0.5448  0.0448  0.2406
Tb  0.5987  0.0987  0.8735
Tb  0.2171  0.3789  0.5531
Tb  0.0622  0.9219  0.3332
Dy  0.0051  0.5051  0.9966
Tb  0.4471  0.4398  0.0712
Dy  0.4949  0.9949  0.0034
Tb  0.6910  0.1910  0.3462
Tb  0.0753  0.1022  0.2026
Tb  0.5602  0.5529  0.9288
Tb  0.4219  0.5622  0.3332
Tb  0.9013  0.4013  0.1265
Tb  0.6212  0.7828  0.4469
Sc  0.9552  0.4552  0.7594
Tb  0.2829  0.1211  0.4469
Sc  0.0626  0.5626  0.2471
Tb  0.5372  0.0372  0.5570
Tb  0.0781  0.9378  0.6668
Tb  0.4378  0.5781  0.6668
Tb  0.4247  0.3978  0.7974

Tb3Dy12Sc | PBE | relaxed

Raw total energy (hartree per atom): -0.1724
DFT formation energy (eV per atom): 0.02
Spin magnetization (μB per atom): 0.000
V (Å³/f.u.): 497
SG: P4/mmm, No. 123

Unit cell a=4.9964 b=4.9964 c=19.9233 alpha=90.00 beta=90.00 gamma=90.00
Fractional positions:
Dy  0.5000  0.0000  0.6264
Tb  0.0000  0.0000  0.5000
Dy  0.5000  0.5000  0.2471
Dy  0.0000  0.5000  0.1211
Dy  0.5000  0.5000  0.7529
Dy  0.0000  0.5000  0.8789
Sc  0.0000  0.0000  0.0000
Dy  0.0000  0.5000  0.3736
Tb  0.0000  0.0000  0.2478
Dy  0.5000  0.5000  0.0000
Dy  0.0000  0.5000  0.6264
Dy  0.5000  0.0000  0.3736
Dy  0.5000  0.0000  0.8789
Dy  0.5000  0.5000  0.5000
Dy  0.5000  0.0000  0.1211
Tb  0.0000  0.0000  0.7522